## a
Mg4Cd3 | PBE-GGA | optimized geometry

Unit cell a=7.854 b=7.854 c=7.854 alpha=113.53 beta=113.53 gamma=113.53
Element x y z (fractional)
1 Mg 0.000 0.000 0.000
2 Mg 0.068 0.625 0.771
3 Mg 0.229 0.932 0.375
4 Mg 0.375 0.229 0.932
5 Mg 0.500 0.500 0.500
6 Mg 0.625 0.771 0.068
7 Mg 0.771 0.068 0.625
8 Mg 0.932 0.375 0.229
9 Cd 0.131 0.266 0.547
10 Cd 0.266 0.547 0.131
11 Cd 0.453 0.869 0.734
12 Cd 0.547 0.131 0.266
13 Cd 0.734 0.453 0.869
14 Cd 0.869 0.734 0.453

Properties
Its volume is 304.30 Å³/cell. As for the total magnetization: 0.00 Bohr magnetons per cell. Its symmetry is R-3.

## b
Mg4Cd3 | PBE-GGA | optimized geometry

Unit cell a=5.712 b=5.712 c=5.656 alpha=90.00 beta=90.00 gamma=120.00
Element x y z (fractional)
1 Mg 0.000 0.000 0.244
2 Mg 0.000 0.000 0.756
3 Mg 0.333 0.667 0.000
4 Mg 0.667 0.333 0.000
5 Cd 0.000 0.500 0.500
6 Cd 0.500 0.000 0.500
7 Cd 0.500 0.500 0.500

Properties
Its volume is 159.82 Å³/cell. As for the total magnetization: 0.00 Bohr magnetons per cell. Its symmetry is P6/mmm.

It comes down to a, which is 8.3 kJ/mol of atoms more stable than the next structure.

## a
Mg5Cd4 | PBE-GGA | optimized geometry

Unit cell a=8.655 b=8.655 c=6.127 alpha=90.00 beta=90.00 gamma=120.00
Element x y z (fractional)
1 Mg 0.000 0.308 0.250
2 Mg 0.000 0.692 0.750
3 Mg 0.308 0.000 0.250
4 Mg 0.308 0.308 0.750
5 Mg 0.333 0.667 0.000
6 Mg 0.333 0.667 0.500
7 Mg 0.667 0.333 0.000
8 Mg 0.667 0.333 0.500
9 Mg 0.692 0.000 0.750
10 Mg 0.692 0.692 0.250
11 Cd 0.000 0.000 0.000
12 Cd 0.000 0.000 0.500
13 Cd 0.000 0.361 0.750
14 Cd 0.000 0.639 0.250
15 Cd 0.361 0.000 0.750
16 Cd 0.361 0.361 0.250
17 Cd 0.639 0.000 0.250
18 Cd 0.639 0.639 0.750

Properties
Its volume is 397.45 Å³/cell. As for the total magnetization: 0.00 Bohr magnetons per cell. Its symmetry is P6_3/mcm.

## b
Mg5Cd4 | PBE-GGA | optimized geometry

Unit cell a=7.061 b=7.061 c=7.061 alpha=95.53 beta=95.53 gamma=143.83
Element x y z (fractional)
1 Mg 0.000 0.000 0.000
2 Mg 0.332 0.332 0.664
3 Mg 0.332 0.668 0.000
4 Mg 0.668 0.332 0.000
5 Mg 0.668 0.668 0.336
6 Cd 0.000 0.329 0.329
7 Cd 0.000 0.671 0.671
8 Cd 0.329 0.000 0.329
9 Cd 0.671 0.000 0.671

Properties
Its volume is 197.56 Å³/cell. As for the total magnetization: 0.00 Bohr magnetons per cell. Its symmetry is I4/mmm.

It comes down to b, which is 1.6 kJ/mol of atoms more stable than the next structure.

## a
Mg3Cd5 | PBE-GGA | optimized geometry

Unit cell a=6.331 b=6.331 c=4.373 alpha=90.00 beta=90.00 gamma=90.48
Element x y z (fractional)
1 Mg 0.000 0.000 0.000
2 Mg 0.258 0.742 0.500
3 Mg 0.742 0.258 0.500
4 Cd 0.000 0.500 0.000
5 Cd 0.241 0.241 0.500
6 Cd 0.500 0.000 0.000
7 Cd 0.500 0.500 0.000
8 Cd 0.759 0.759 0.500

Properties
Its volume is 175.28 Å³/cell. As for the total magnetization: 0.00 Bohr magnetons per cell. Its symmetry is Cmmm.

## b
Mg3Cd5 | PBE-GGA | optimized geometry

Unit cell a=8.840 b=8.840 c=5.474 alpha=90.00 beta=90.00 gamma=120.00
Element x y z (fractional)
1 Mg 0.000 0.398 0.250
2 Mg 0.000 0.602 0.750
3 Mg 0.398 0.000 0.250
4 Mg 0.398 0.398 0.750
5 Mg 0.602 0.000 0.750
6 Mg 0.602 0.602 0.250
7 Cd 0.000 0.220 0.750
8 Cd 0.000 0.780 0.250
9 Cd 0.220 0.000 0.750
10 Cd 0.220 0.220 0.250
11 Cd 0.333 0.667 0.000
12 Cd 0.333 0.667 0.500
13 Cd 0.667 0.333 0.000
14 Cd 0.667 0.333 0.500
15 Cd 0.780 0.000 0.250
16 Cd 0.780 0.780 0.750

Properties
Its volume is 370.39 Å³/cell. As for the total magnetization: 0.00 Bohr magnetons per cell. Its symmetry is P6_3/mcm.

## c
Mg3Cd5 | PBE-GGA | optimized geometry

Unit cell a=8.592 b=8.592 c=8.337 alpha=95.57 beta=95.57 gamma=142.04
Element x y z (fractional)
1 Mg 0.181 0.819 0.000
2 Mg 0.263 0.737 0.500
3 Mg 0.373 0.373 0.645
4 Mg 0.627 0.627 0.355
5 Mg 0.737 0.263 0.500
6 Mg 0.819 0.181 0.000
7 Cd 0.035 0.230 0.335
8 Cd 0.230 0.035 0.335
9 Cd 0.240 0.240 0.981
10 Cd 0.244 0.572 0.806
11 Cd 0.428 0.756 0.194
12 Cd 0.572 0.244 0.806
13 Cd 0.756 0.428 0.194
14 Cd 0.760 0.760 0.019
15 Cd 0.770 0.965 0.665
16 Cd 0.965 0.770 0.665

Properties
Its volume is 361.37 Å³/cell. As for the total magnetization: 0.00 Bohr magnetons per cell. Its symmetry is C2/m.

It comes down to a, which is 6.1 kJ/mol of atoms more stable than the next structure.

## a
Mg3Cd8 | PBE-GGA | optimized geometry

Unit cell a=5.576 b=5.576 c=11.117 alpha=104.99 beta=104.99 gamma=47.25
Element x y z (fractional)
1 Mg 0.000 0.000 0.000
2 Mg 0.093 0.093 0.640
3 Mg 0.907 0.907 0.360
4 Cd 0.181 0.181 0.273
5 Cd 0.274 0.274 0.909
6 Cd 0.367 0.367 0.542
7 Cd 0.454 0.454 0.181
8 Cd 0.546 0.546 0.819
9 Cd 0.633 0.633 0.458
10 Cd 0.726 0.726 0.091
11 Cd 0.819 0.819 0.727

Properties
Its volume is 243.50 Å³/cell. As for the total magnetization: 0.00 Bohr magnetons per cell. Its symmetry is C2/m.

## b
Mg3Cd8 | PBE-GGA | optimized geometry

Unit cell a=6.697 b=6.697 c=6.697 alpha=97.73 beta=97.73 gamma=97.73
Element x y z (fractional)
1 Mg 0.000 0.500 0.500
2 Mg 0.500 0.000 0.500
3 Mg 0.500 0.500 0.000
4 Cd 0.059 0.685 0.925
5 Cd 0.075 0.941 0.315
6 Cd 0.315 0.075 0.941
7 Cd 0.357 0.357 0.357
8 Cd 0.643 0.643 0.643
9 Cd 0.685 0.925 0.059
10 Cd 0.925 0.059 0.685
11 Cd 0.941 0.315 0.075

Properties
Its volume is 291.32 Å³/cell. As for the total magnetization: 0.00 Bohr magnetons per cell. Its symmetry is R-3.

It comes down to a, which is 18.4 kJ/mol of atoms more stable than the next structure.